## Rb2ThW3O12 (GGA+U)

Data for a relaxed structure of Rb2ThW3O12.

Calculated values
Total magnetic moment in μB/cell: 0.00
E_tot in eV per atom: -7.3695

abc: 7.752 7.752 7.752
angles: 57.94 57.94 57.94
Sites, in units of the cell vectors:
Rb  0.633  0.633  0.633
Rb  0.367  0.367  0.367
Th  0.000  0.000  0.000
W  0.500  0.000  0.000
W  0.000  0.500  0.000
W  0.000  0.000  0.500
O  0.299  0.299  0.932
O  0.922  0.922  0.361
O  0.361  0.922  0.922
O  0.932  0.299  0.299
O  0.922  0.361  0.922
O  0.299  0.932  0.299
O  0.701  0.701  0.068
O  0.078  0.078  0.639
O  0.639  0.078  0.078
O  0.068  0.701  0.701
O  0.078  0.639  0.078
O  0.701  0.068  0.701